NaCrPO5: optimized geometry, GGA+U.

Output
final energy = -6.883 eV/atom
size of the total moment = 2.0 μB per formula unit

Unit cell a=5.399 b=5.399 c=6.985 alpha=104.88 beta=104.88 gamma=104.46
Sites, in units of the cell vectors:
Na 0.170 0.830 0.750
Na 0.830 0.170 0.250
Cr 0.500 0.500 0.000
Cr 0.500 0.500 0.500
P 0.181 0.819 0.250
P 0.819 0.181 0.750
O 0.112 0.254 0.903
O 0.186 0.618 0.376
O 0.254 0.112 0.403
O 0.382 0.814 0.124
O 0.441 0.559 0.750
O 0.559 0.441 0.250
O 0.618 0.186 0.876
O 0.746 0.888 0.597
O 0.814 0.382 0.624
O 0.888 0.746 0.097